This record from Alexandria describes an optimized crystal structure of MoPb3Cl. The functional is PBE-GGA.

a = 5.4667 Å, b = 5.4667 Å, c = 5.4667 Å
α = 90.00°, β = 90.00°, γ = 90.00°
With the nearest neighbours (Å) after each atom.
Atoms (fractional coordinates):
Mo  0.0000  0.0000  0.0000  12 Pb 3.87
Pb  0.0000  0.5000  0.5000  2 Cl 2.73
Pb  0.5000  0.0000  0.5000  2 Cl 2.73
Pb  0.5000  0.5000  0.0000  2 Cl 2.73
Cl  0.5000  0.5000  0.5000  6 Pb 2.73

SG: Pm-3m, No. 221
crystal system: cubic
raw formation energy: 0.9827 eV per atom
total energy: -3.778 eV per atom
energy above the most stable polymorph in this dataset: 84.7 kJ/mol of atoms